# 1
TeRhO2: optimized geometry, PBE.

Calculated volume, Å³/cell: 219.77
Formation energy (no corrections), eV per atom: -0.175

Unit cell a=4.0042 b=4.0042 c=13.7071 alpha=90.00 beta=90.00 gamma=90.00
Closest atoms and distances in Å follow each position.
Space group I-42d (No. 122)
Symmetry-distinct sites (fractional):
Te (0.0000, 0.0000, 0.0000) (multiplicity 4)  4 O 2.24
Rh (0.0000, 0.0000, 0.5000) (multiplicity 4)  4 O 2.20
O (0.2389, 0.2500, 0.6250) (multiplicity 8)  2 Rh 2.20, 2 Te 2.24

***

# 2
TeRhO3: optimized geometry, PBE.

Calculated volume, Å³/cell: 61.44
Formation energy (no corrections), eV per atom: -0.142

Unit cell a=3.9460 b=3.9460 c=3.9460 alpha=90.00 beta=90.00 gamma=90.00
Closest atoms and distances in Å follow each position.
Space group Pm-3m (No. 221)
Symmetry-distinct sites (fractional):
Te (0.0000, 0.0000, 0.0000) (multiplicity 1)  12 O 2.79
Rh (0.5000, 0.5000, 0.5000) (multiplicity 1)  6 O 1.97
O (0.0000, 0.5000, 0.5000) (multiplicity 3)  2 Rh 1.97

***

# 3
TeRhO2: optimized geometry, PBE.

Calculated volume, Å³/cell: 173.33
Formation energy (no corrections), eV per atom: -0.446

Unit cell a=3.2386 b=3.2386 c=19.0818 alpha=90.00 beta=90.00 gamma=120.00
Closest atoms and distances in Å follow each position.
Space group R-3m (No. 166, hexagonal axes)
Symmetry-distinct sites (fractional):
Te (0.0000, 0.0000, 0.0000) (multiplicity 3)  2 O 2.22
Rh (0.0000, 0.0000, 0.5000) (multiplicity 3)  6 O 2.10
O (0.0000, 0.0000, 0.1163) (multiplicity 6)  3 Rh 2.10, 1 Te 2.22

***

| no. | E_tot (eV per atom) | total magnetic moment (μB/f.u.) | theoretical density (g/cm3) |
| --- | --- | --- | --- |
| 1 | -5.277 | 0.61 | 7.93 |
| 2 | -5.215 | 0.00 | 7.53 |
| 3 | -5.548 | 0.00 | 7.54 |